Entry 1:
Density functional theory data (PBE) for an optimized crystal structure of CaLa2Cl.

Cell and atoms, written as POSCAR:
```
CaLa2Cl
1.0
4.439 0.000 0.000
0.000 4.439 0.000
0.000 0.000 7.035
Ca La Cl
1 2 1
Direct
0.000 0.000 0.000
0.000 0.500 0.500
0.500 0.000 0.500
0.500 0.500 0.000
```

* formation energy without anion corrections: -270 meV per atom
* distance to the lowest polymorph of the same formula: 0.4173 eV per atom
* symmetry: P4/mmm
* uncorrected energy: -3.70 eV/atom

***

Entry 2:
Density functional theory data (PBE) for an optimized crystal structure of CaLa2Cl.

Cell and atoms, written as POSCAR:
```
CaLa2Cl
1.0
1.957 -3.187 0.000
1.957 3.187 0.000
0.000 0.000 10.680
Ca La Cl
1 2 1
Direct
0.000 0.000 0.000
0.000 0.000 0.428
0.500 0.500 0.704
0.500 0.500 0.197
```

* formation energy without anion corrections: -681 meV per atom
* distance to the lowest polymorph of the same formula: 0.0067 eV per atom
* symmetry: Cmm2
* uncorrected energy: -4.11 eV/atom

***

Entry 3:
Density functional theory data (PBE) for an optimized crystal structure of CaLa2Cl.

Cell and atoms, written as POSCAR:
```
CaLa2Cl
1.0
3.312 -6.506 0.000
3.312 6.506 0.000
-1.855 0.000 3.094
Ca La Cl
1 2 1
Direct
0.000 0.000 0.000
0.000 0.500 0.500
0.500 0.000 0.500
0.500 0.500 0.000
```

* formation energy without anion corrections: -380 meV per atom
* distance to the lowest polymorph of the same formula: 0.3077 eV per atom
* symmetry: C2/m
* uncorrected energy: -3.81 eV/atom

***

Entry 4:
Density functional theory data (PBE) for an optimized crystal structure of CaLa2Cl.

Cell and atoms, written as POSCAR:
```
CaLa2Cl
1.0
3.748 0.000 0.000
0.000 6.309 0.000
-0.708 0.000 5.764
Ca La Cl
1 2 1
Direct
0.000 0.000 0.000
0.270 0.500 0.748
0.730 0.500 0.252
0.000 0.000 0.500
```

* formation energy without anion corrections: -455 meV per atom
* distance to the lowest polymorph of the same formula: 0.2328 eV per atom
* symmetry: P2/m
* uncorrected energy: -3.88 eV/atom

***

Entry 5:
Density functional theory data (PBE) for an optimized crystal structure of CaLa2Cl.

Cell and atoms, written as POSCAR:
```
CaLa2Cl
1.0
0.000 4.071 4.071
4.071 0.000 4.071
4.071 4.071 0.000
Ca La Cl
1 2 1
Direct
0.000 0.000 0.000
0.500 0.500 0.500
0.750 0.750 0.750
0.250 0.250 0.250
```

* formation energy without anion corrections: -2 meV per atom
* distance to the lowest polymorph of the same formula: 0.6856 eV per atom
* symmetry: F-43m
* uncorrected energy: -3.43 eV/atom

***

Entry 6:
Density functional theory data (PBE) for an optimized crystal structure of CaLaCl2.

Cell and atoms, written as POSCAR:
```
CaLaCl2
1.0
3.640 0.000 0.000
0.000 4.589 0.000
0.000 0.000 7.070
Ca La Cl
1 1 2
Direct
0.000 0.000 0.000
0.500 0.000 0.500
0.000 0.500 0.500
0.500 0.500 0.000
```

* formation energy without anion corrections: -1412 meV per atom
* distance to the lowest polymorph of the same formula: 0.1328 eV per atom
* symmetry: Pmmm
* uncorrected energy: -4.07 eV/atom